(1)
Here is a relaxed SmHo4Er2Sc crystal from the Alexandria database. Energies are from GGA-PBE.

Summary:
electronic total energy = -38.2 eV/cell
spin magnetization = 0.001 μB per formula unit
calculated formation energy = 0.27 eV/f.u.
space-group type = No. 123

Cell lengths 4.9470, 4.9470, 9.9080 Å; angles 90.00, 90.00, 90.00 degrees
Element x y z (fractional)
Sm  0.0000  0.0000  0.0000
Ho  0.0000  0.5000  0.2562
Ho  0.0000  0.5000  0.7438
Ho  0.5000  0.0000  0.2562
Ho  0.5000  0.0000  0.7438
Er  0.0000  0.0000  0.5000
Er  0.5000  0.5000  0.0000
Sc  0.5000  0.5000  0.5000

(2)
Here is a relaxed Sm6Ho3ErSc2 crystal from the Alexandria database. Energies are from GGA-PBE.

Summary:
electronic total energy = -58.9 eV/cell
spin magnetization = 0.000 μB per formula unit
calculated formation energy = 0.42 eV/f.u.
space-group type = No. 12

Cell lengths 6.1376, 6.1376, 11.5744 Å; angles 95.05, 95.05, 119.97 degrees
Element x y z (fractional)
Sm  0.0820  0.4181  0.7554
Sm  0.2460  0.2460  0.2446
Sm  0.4181  0.0820  0.7554
Sm  0.5819  0.9180  0.2446
Sm  0.7540  0.7540  0.7554
Sm  0.9180  0.5819  0.2446
Ho  0.0000  0.0000  0.5000
Ho  0.3332  0.6668  0.5000
Ho  0.6668  0.3332  0.5000
Er  0.5000  0.5000  0.0000
Sc  0.1666  0.8334  0.0000
Sc  0.8334  0.1666  0.0000

(3)
Here is a relaxed SmHoEr2Sc crystal from the Alexandria database. Energies are from GGA-PBE.

Summary:
electronic total energy = -45.8 eV/cell
spin magnetization = 0.000 μB per formula unit
calculated formation energy = 1.85 eV/f.u.
space-group type = No. 63

Cell lengths 8.5488, 8.5488, 6.3062 Å; angles 90.00, 90.00, 136.74 degrees
Element x y z (fractional)
Sm  0.1610  0.8390  0.7500
Sm  0.8390  0.1610  0.2500
Ho  0.2494  0.7506  0.2500
Ho  0.7506  0.2494  0.7500
Er  0.2514  0.2514  0.0000
Er  0.2514  0.2514  0.5000
Er  0.7486  0.7486  0.0000
Er  0.7486  0.7486  0.5000
Sc  0.3461  0.6539  0.7500
Sc  0.6539  0.3461  0.2500

(4)
Here is a relaxed Sm2Ho6ErSc crystal from the Alexandria database. Energies are from GGA-PBE.

Summary:
electronic total energy = -93.1 eV/cell
spin magnetization = 0.000 μB per formula unit
calculated formation energy = 1.24 eV/f.u.
space-group type = No. 15

Cell lengths 8.6402, 8.6402, 9.5100 Å; angles 94.46, 94.46, 117.50 degrees
Element x y z (fractional)
Sm  0.1981  0.2996  0.0453
Sm  0.2996  0.1981  0.5453
Sm  0.7004  0.8019  0.4547
Sm  0.8019  0.7004  0.9547
Ho  0.0108  0.5707  0.1905
Ho  0.1266  0.7475  0.5569
Ho  0.2525  0.8734  0.9431
Ho  0.2937  0.5035  0.3829
Ho  0.4293  0.9892  0.3095
Ho  0.4965  0.7063  0.1171
Ho  0.5035  0.2937  0.8829
Ho  0.5707  0.0108  0.6905
Ho  0.7063  0.4965  0.6171
Ho  0.7475  0.1266  0.0569
Ho  0.8734  0.2525  0.4431
Ho  0.9892  0.4293  0.8095
Er  0.0187  0.9813  0.2500
Er  0.9813  0.0187  0.7500
Sc  0.4104  0.5896  0.7500
Sc  0.5896  0.4104  0.2500

(5)
Here is a relaxed SmHo6Er2Sc3 crystal from the Alexandria database. Energies are from GGA-PBE.

Summary:
electronic total energy = -59.8 eV/cell
spin magnetization = 0.000 μB per formula unit
calculated formation energy = 0.53 eV/f.u.
space-group type = No. 12

Cell lengths 6.0166, 6.0166, 11.4323 Å; angles 95.03, 95.03, 119.96 degrees
Element x y z (fractional)
Sm  0.0000  0.0000  0.0000
Ho  0.0866  0.4202  0.2592
Ho  0.2471  0.2471  0.7408
Ho  0.4202  0.0866  0.2592
Ho  0.5798  0.9134  0.7408
Ho  0.7529  0.7529  0.2592
Ho  0.9134  0.5798  0.7408
Er  0.3334  0.6666  0.0000
Er  0.6666  0.3334  0.0000
Sc  0.1668  0.8332  0.5000
Sc  0.5000  0.5000  0.5000
Sc  0.8332  0.1668  0.5000

(6)
Here is a relaxed SmHoEr2Sc4 crystal from the Alexandria database. Energies are from GGA-PBE.

Summary:
electronic total energy = -43.3 eV/cell
spin magnetization = 0.000 μB per formula unit
calculated formation energy = 0.42 eV/f.u.
space-group type = No. 123

Cell lengths 4.8813, 4.8813, 9.3225 Å; angles 90.00, 90.00, 90.00 degrees
Element x y z (fractional)
Sm  0.0000  0.0000  0.0000
Ho  0.5000  0.5000  0.5000
Er  0.0000  0.0000  0.5000
Er  0.5000  0.5000  0.0000
Sc  0.0000  0.5000  0.2514
Sc  0.0000  0.5000  0.7486
Sc  0.5000  0.0000  0.2514
Sc  0.5000  0.0000  0.7486

The lowest calculated formation energy belongs to which entry? SmHo4Er2Sc

The lowest calculated formation energy belongs to which entry? SmHo4Er2Sc

Which of these has the lowest electronic total energy? Sm2Ho6ErSc